VASP calculation (GGA-PBE) on an optimized crystal structure of LaCe2PuS4.

Cell lengths 4.0286, 6.9956, 7.0247 Å; angles 109.35, 90.00, 90.00 degrees
Fractional positions:
1 S 0.0000 0.7422 0.2479
2 S 0.5000 0.2580 0.2537
3 S 0.5000 0.7420 0.7463
4 S 0.0000 0.2578 0.7521
5 Ce 0.0000 0.5000 0.5000
6 Ce 0.5000 0.0000 0.5000
7 Pu 0.5000 0.5000 0.0000
8 La 0.0000 0.0000 0.0000

Summary:
electronic total energy: -63.6 eV per cell
Fermi-level density of states: 15.37 states/eV per cell
density: 7.0 g/cm³
formation energy (no corrections): -1997 meV per atom
magnetization: 4.44 μB/f.u.
space group: P2/m, No. 10